# 1
VASP calculation (PBE) on crystalline AcCe2Gd at its relaxed geometry.

Geometry as POSCAR:
```
AcCe2Gd
1.0
3.536 0.000 0.000
-1.768 3.063 0.000
0.000 0.000 37.992
Ac Ce Gd
3 6 3
direct
0.000 0.000 0.000 Ac
0.333 0.667 0.667 Ac
0.667 0.333 0.333 Ac
0.000 0.000 0.091 Ce
0.000 0.000 0.909 Ce
0.333 0.667 0.576 Ce
0.333 0.667 0.757 Ce
0.667 0.333 0.243 Ce
0.667 0.333 0.424 Ce
0.000 0.000 0.500 Gd
0.333 0.667 0.167 Gd
0.667 0.333 0.833 Gd
```

Calculated values
Energy above the most stable polymorph in this dataset (meV/atom): 142
Energy (eV/atom): -7.22
Crystal system: trigonal


# 2
VASP calculation (PBE) on crystalline AcCe2Gd at its relaxed geometry.

Geometry as POSCAR:
```
AcCe2Gd
1.0
3.638 0.000 0.000
0.000 3.638 0.000
0.000 0.000 10.244
Ac Ce Gd
1 2 1
direct
0.000 0.000 0.000 Ac
0.500 0.500 0.258 Ce
0.500 0.500 0.742 Ce
0.000 0.000 0.500 Gd
```

Calculated values
Energy above the most stable polymorph in this dataset (meV/atom): 8
Energy (eV/atom): -7.35
Crystal system: tetragonal


# 3
VASP calculation (PBE) on crystalline AcCeGdHo at its relaxed geometry.

Geometry as POSCAR:
```
AcCeGdHo
1.0
8.248 0.000 0.000
0.000 8.248 0.000
0.000 0.000 8.248
Ac Ce Gd Ho
4 4 4 4
direct
0.000 0.000 0.000 Ac
0.000 0.500 0.500 Ac
0.500 0.000 0.500 Ac
0.500 0.500 0.000 Ac
0.000 0.000 0.500 Ce
0.000 0.500 0.000 Ce
0.500 0.000 0.000 Ce
0.500 0.500 0.500 Ce
0.250 0.250 0.250 Gd
0.250 0.750 0.750 Gd
0.750 0.250 0.750 Gd
0.750 0.750 0.250 Gd
0.250 0.250 0.750 Ho
0.250 0.750 0.250 Ho
0.750 0.250 0.250 Ho
0.750 0.750 0.750 Ho
```

Calculated values
Energy (eV/atom): -6.99
Crystal system: cubic


# 4
VASP calculation (PBE) on crystalline AcCeGdLu at its relaxed geometry.

Geometry as POSCAR:
```
AcCeGdLu
1.0
8.211 0.000 0.000
0.000 8.211 0.000
0.000 0.000 8.211
Ac Ce Gd Lu
4 4 4 4
direct
0.000 0.000 0.000 Ac
0.000 0.500 0.500 Ac
0.500 0.000 0.500 Ac
0.500 0.500 0.000 Ac
0.000 0.000 0.500 Ce
0.000 0.500 0.000 Ce
0.500 0.000 0.000 Ce
0.500 0.500 0.500 Ce
0.250 0.250 0.250 Gd
0.250 0.750 0.750 Gd
0.750 0.250 0.750 Gd
0.750 0.750 0.250 Gd
0.250 0.250 0.750 Lu
0.250 0.750 0.250 Lu
0.750 0.250 0.250 Lu
0.750 0.750 0.750 Lu
```

Calculated values
Energy (eV/atom): -6.98
Crystal system: cubic


# 5
VASP calculation (PBE) on crystalline AcCeGdMg at its relaxed geometry.

Geometry as POSCAR:
```
AcCeGdMg
1.0
8.032 0.000 0.000
0.000 8.032 0.000
0.000 0.000 8.032
Ac Ce Gd Mg
4 4 4 4
direct
0.000 0.000 0.000 Ac
0.000 0.500 0.500 Ac
0.500 0.000 0.500 Ac
0.500 0.500 0.000 Ac
0.250 0.250 0.750 Ce
0.250 0.750 0.250 Ce
0.750 0.250 0.250 Ce
0.750 0.750 0.750 Ce
0.000 0.000 0.500 Gd
0.000 0.500 0.000 Gd
0.500 0.000 0.000 Gd
0.500 0.500 0.500 Gd
0.250 0.250 0.250 Mg
0.250 0.750 0.750 Mg
0.750 0.250 0.750 Mg
0.750 0.750 0.250 Mg
```

Calculated values
Energy (eV/atom): -6.28
Crystal system: cubic


# 6
VASP calculation (PBE) on crystalline AcCeNdGd at its relaxed geometry.

Geometry as POSCAR:
```
AcCeNdGd
1.0
8.346 0.000 0.000
0.000 8.346 0.000
0.000 0.000 8.346
Ac Ce Nd Gd
4 4 4 4
direct
0.000 0.000 0.000 Ac
0.000 0.500 0.500 Ac
0.500 0.000 0.500 Ac
0.500 0.500 0.000 Ac
0.000 0.000 0.500 Ce
0.000 0.500 0.000 Ce
0.500 0.000 0.000 Ce
0.500 0.500 0.500 Ce
0.250 0.250 0.250 Nd
0.250 0.750 0.750 Nd
0.750 0.250 0.750 Nd
0.750 0.750 0.250 Nd
0.250 0.250 0.750 Gd
0.250 0.750 0.250 Gd
0.750 0.250 0.250 Gd
0.750 0.750 0.750 Gd
```

Calculated values
Energy (eV/atom): -7.01
Crystal system: cubic


# 7
VASP calculation (PBE) on crystalline AcCeGdPb at its relaxed geometry.

Geometry as POSCAR:
```
AcCeGdPb
1.0
8.074 0.000 0.000
0.000 8.074 0.000
0.000 0.000 8.074
Ac Ce Gd Pb
4 4 4 4
direct
0.000 0.000 0.000 Ac
0.000 0.500 0.500 Ac
0.500 0.000 0.500 Ac
0.500 0.500 0.000 Ac
0.250 0.250 0.750 Ce
0.250 0.750 0.250 Ce
0.750 0.250 0.250 Ce
0.750 0.750 0.750 Ce
0.000 0.000 0.500 Gd
0.000 0.500 0.000 Gd
0.500 0.000 0.000 Gd
0.500 0.500 0.500 Gd
0.250 0.250 0.250 Pb
0.250 0.750 0.750 Pb
0.750 0.250 0.750 Pb
0.750 0.750 0.250 Pb
```

Calculated values
Energy (eV/atom): -6.98
Crystal system: cubic


# 8
VASP calculation (PBE) on crystalline AcCePrGd at its relaxed geometry.

Geometry as POSCAR:
```
AcCePrGd
1.0
8.365 0.000 0.000
0.000 8.365 0.000
0.000 0.000 8.365
Ac Ce Pr Gd
4 4 4 4
direct
0.000 0.000 0.000 Ac
0.000 0.500 0.500 Ac
0.500 0.000 0.500 Ac
0.500 0.500 0.000 Ac
0.000 0.000 0.500 Ce
0.000 0.500 0.000 Ce
0.500 0.000 0.000 Ce
0.500 0.500 0.500 Ce
0.250 0.250 0.250 Pr
0.250 0.750 0.750 Pr
0.750 0.250 0.750 Pr
0.750 0.750 0.250 Pr
0.250 0.250 0.750 Gd
0.250 0.750 0.250 Gd
0.750 0.250 0.250 Gd
0.750 0.750 0.750 Gd
```

Calculated values
Energy (eV/atom): -7.01
Crystal system: cubic


Number 1: calculated volume 411.5 Å³ per cell. Number 2: calculated volume 135.5 Å³ per cell. Number 3: calculated volume 561.1 Å³ per cell. Number 4: calculated volume 553.6 Å³ per cell. Number 5: calculated volume 518.2 Å³ per cell. Number 6: calculated volume 581.3 Å³ per cell. Number 7: calculated volume 526.4 Å³ per cell. Number 8: calculated volume 585.3 Å³ per cell.